1.
A plane-wave DFT calculation with PBE was carried out for an optimized crystal structure of LaPr5Nd2Th.

Its symmetry is No. 36. Its total energy is -4.938 eV/atom.

abc: 5.843 10.737 10.749
angles: 90.00 90.00 105.79
Atoms (fractional coordinates):
Nd  0.884  0.769  0.819
Nd  0.885  0.769  0.232
Nd  0.116  0.231  0.319
Nd  0.115  0.231  0.732
Pr  0.293  0.587  0.703
Pr  0.707  0.413  0.203
Pr  0.385  0.770  0.025
Pr  0.520  0.039  0.241
Pr  0.615  0.230  0.525
Pr  0.723  0.447  0.818
Pr  0.016  0.032  0.024
Pr  0.984  0.968  0.524
Pr  0.277  0.553  0.318
Pr  0.480  0.961  0.741
Th  0.199  0.398  0.013
Th  0.801  0.602  0.513
La  0.412  0.825  0.449
La  0.588  0.175  0.949

2.
A plane-wave DFT calculation with PBE was carried out for an optimized crystal structure of BaHg2Te3.

Its symmetry is No. 12. Its total energy is -2.596 eV/atom. The formation energy (no corrections) is -604 meV/atom.

abc: 4.958 7.902 12.262
angles: 93.70 101.66 89.98
Atoms (fractional coordinates):
Te  0.926  0.162  0.852
Te  0.571  0.385  0.141
Te  0.232  0.264  0.464
Te  0.429  0.615  0.859
Te  0.074  0.838  0.148
Te  0.768  0.736  0.536
Ba  0.655  0.010  0.311
Ba  0.345  0.990  0.689
Hg  0.317  0.517  0.635
Hg  0.951  0.811  0.901
Hg  0.683  0.483  0.365
Hg  0.049  0.189  0.099

3.
A plane-wave DFT calculation with PBE was carried out for an optimized crystal structure of Y2Mg3Cd4.

Its symmetry is No. 12. Its total energy is -2.615 eV/atom. As for the polymorph energy (0 for the lowest one): 0 meV per atom.

abc: 5.073 5.068 9.591
angles: 90.21 90.01 59.95
Atoms (fractional coordinates):
Cd  0.001  0.998  0.656
Cd  0.667  0.666  0.892
Cd  0.999  0.002  0.344
Cd  0.333  0.334  0.108
Y  0.666  0.668  0.212
Y  0.334  0.332  0.788
Mg  0.333  0.335  0.432
Mg  0.000  0.000  0.000
Mg  0.667  0.665  0.568

4.
A plane-wave DFT calculation with PBE was carried out for an optimized crystal structure of NpU2Ni9.

Its symmetry is No. 166. Its total energy is -7.500 eV/atom.

abc: 4.869 4.869 8.628
angles: 73.61 73.61 60.00
Atoms (fractional coordinates):
Np  0.000  0.000  0.000
Ni  0.667  0.667  0.999
Ni  0.082  0.583  0.751
Ni  0.583  0.082  0.751
Ni  0.417  0.918  0.249
Ni  0.918  0.417  0.249
Ni  0.500  0.500  0.500
Ni  0.333  0.333  0.001
Ni  0.583  0.583  0.751
Ni  0.417  0.417  0.249
U  0.859  0.859  0.422
U  0.141  0.141  0.578

5.
A plane-wave DFT calculation with PBE was carried out for an optimized crystal structure of Sc2AgIr.

Its symmetry is No. 99. Its total energy is -6.313 eV/atom. As for the polymorph energy (0 for the lowest one): 447 meV per atom.

abc: 3.168 3.168 7.943
angles: 90.00 90.00 90.00
Atoms (fractional coordinates):
Ir  0.500  0.500  0.757
Ag  0.000  0.000  0.521
Sc  0.500  0.500  0.283
Sc  0.000  0.000  0.939

6.
A plane-wave DFT calculation with PBE was carried out for an optimized crystal structure of PC.

Its symmetry is No. 44. Its total energy is -6.700 eV/atom. As for the polymorph energy (0 for the lowest one): 304 meV per atom.

abc: 9.482 2.904 4.981
angles: 90.00 90.00 90.00
Atoms (fractional coordinates):
C  0.230  0.500  0.137
C  0.730  0.000  0.637
C  0.270  0.000  0.637
C  0.770  0.500  0.137
C  0.500  0.500  0.930
C  0.000  0.000  0.430
P  0.315  0.500  0.815
P  0.000  0.500  0.669
P  0.685  0.500  0.815
P  0.815  0.000  0.315
P  0.185  0.000  0.315
P  0.500  0.000  0.169

7.
A plane-wave DFT calculation with PBE was carried out for an optimized crystal structure of NiSbS2Cl.

Its symmetry is No. 123. Its total energy is -3.342 eV/atom. As for the polymorph energy (0 for the lowest one): 609 meV per atom. The formation energy (no corrections) is 659 meV/atom.

abc: 5.057 5.057 5.109
angles: 90.00 90.00 90.00
Atoms (fractional coordinates):
Sb  0.000  0.000  0.000
Ni  0.500  0.500  0.500
S  0.000  0.500  0.000
S  0.500  0.000  0.000
Cl  0.000  0.000  0.500

8.
A plane-wave DFT calculation with PBE was carried out for an optimized crystal structure of Li2NdTmTe4.

Its symmetry is No. 10. Its total energy is -4.484 eV/atom. The formation energy (no corrections) is -1279 meV/atom.

abc: 4.384 7.594 7.506
angles: 109.61 90.00 90.00
Atoms (fractional coordinates):
Te  0.000  0.742  0.255
Te  0.500  0.262  0.260
Te  0.500  0.738  0.740
Te  0.000  0.258  0.745
Nd  0.000  0.000  0.000
Li  0.000  0.500  0.500
Li  0.500  0.000  0.500
Tm  0.500  0.500  0.000